Record 1
The following is a PBE calculation of an optimized crystal structure of CsRb2Zr3O8, from the Alexandria database.

```
CsRb2Zr3O8
1.0
3.337 1.926 6.866
-3.337 1.926 6.866
0.000 -3.853 6.866
Cs Rb Zr O
1 2 3 8
direct
0.000 0.000 0.000 Cs
0.264 0.264 0.264 Rb
0.634 0.634 0.634 Rb
0.136 0.634 0.634 Zr
0.634 0.136 0.634 Zr
0.634 0.634 0.136 Zr
0.374 0.374 0.813 O
0.374 0.813 0.374 O
0.413 0.413 0.413 O
0.462 0.890 0.890 O
0.813 0.374 0.374 O
0.855 0.855 0.855 O
0.890 0.462 0.890 O
0.890 0.890 0.462 O
```

Summary:
Space group: R3m
Total magnetic moment (Bohr magnetons per cell): 1.04



Record 2
The following is a PBE calculation of an optimized crystal structure of CsReO2, from the Alexandria database.

```
CsReO2
1.0
-3.385 3.385 7.169
3.385 -3.385 7.169
3.385 3.385 -7.169
Cs Re O
4 4 8
direct
0.000 0.000 0.000 Cs
0.000 0.000 0.500 Cs
0.000 0.500 0.000 Cs
0.500 0.000 0.500 Cs
0.000 0.500 0.500 Re
0.500 0.000 0.000 Re
0.500 0.500 0.000 Re
0.500 0.500 0.500 Re
0.240 0.321 0.581 O
0.240 0.660 0.919 O
0.321 0.240 0.081 O
0.340 0.760 0.581 O
0.660 0.240 0.419 O
0.679 0.760 0.919 O
0.760 0.340 0.081 O
0.760 0.679 0.419 O
```

Summary:
Space group: I4_1/amd
Total magnetic moment (Bohr magnetons per cell): 9.47



Record 3
The following is a PBE calculation of an optimized crystal structure of Cs3ReO4, from the Alexandria database.

```
Cs3ReO4
1.0
-3.363 4.805 3.254
3.363 -4.805 3.254
3.363 4.805 -3.254
Cs Re O
3 1 4
direct
0.000 0.000 0.000 Cs
0.267 0.513 0.754 Cs
0.758 0.513 0.246 Cs
0.533 0.033 0.500 Re
0.275 0.960 0.314 O
0.624 0.381 0.758 O
0.624 0.866 0.242 O
0.646 0.960 0.686 O
```

Summary:
Space group: Imm2
Total magnetic moment (Bohr magnetons per cell): 0.00



Record 4
The following is a PBE calculation of an optimized crystal structure of Cs3ReO5, from the Alexandria database.

```
Cs3ReO5
1.0
4.932 -4.526 0.000
4.932 4.526 0.000
0.000 0.000 9.213
Cs Re O
6 2 10
direct
0.209 0.791 0.750 Cs
0.264 0.264 0.000 Cs
0.264 0.264 0.500 Cs
0.736 0.736 0.000 Cs
0.736 0.736 0.500 Cs
0.791 0.209 0.250 Cs
0.258 0.742 0.250 Re
0.742 0.258 0.750 Re
0.062 0.557 0.250 O
0.163 0.837 0.076 O
0.163 0.837 0.424 O
0.443 0.938 0.250 O
0.460 0.540 0.250 O
0.540 0.460 0.750 O
0.557 0.062 0.750 O
0.837 0.163 0.576 O
0.837 0.163 0.924 O
0.938 0.443 0.750 O
```

Summary:
Space group: Cmcm
Total magnetic moment (Bohr magnetons per cell): 0.00



Record 5
The following is a PBE calculation of an optimized crystal structure of Cs4ReO5, from the Alexandria database.

```
Cs4ReO5
1.0
-4.447 4.447 3.172
4.447 -4.447 3.172
4.447 4.447 -3.172
Cs Re O
4 1 5
direct
0.114 0.703 0.817 Cs
0.297 0.114 0.411 Cs
0.703 0.886 0.589 Cs
0.886 0.297 0.183 Cs
0.467 0.467 0.000 Re
0.185 0.185 0.000 O
0.354 0.488 0.738 O
0.488 0.750 0.134 O
0.616 0.354 0.866 O
0.750 0.616 0.262 O
```

Summary:
Space group: I4
Total magnetic moment (Bohr magnetons per cell): 1.04



Record 6
The following is a PBE calculation of an optimized crystal structure of CsReO4, from the Alexandria database.

```
CsReO4
1.0
8.210 0.000 0.000
0.000 8.676 0.000
-6.270 0.000 8.152
Cs Re O
4 4 16
direct
0.174 0.157 0.278 Cs
0.174 0.343 0.778 Cs
0.826 0.657 0.222 Cs
0.826 0.843 0.722 Cs
0.303 0.667 0.191 Re
0.303 0.833 0.691 Re
0.697 0.167 0.309 Re
0.697 0.333 0.809 Re
0.134 0.677 0.629 O
0.134 0.823 0.129 O
0.215 0.513 0.245 O
0.215 0.987 0.745 O
0.307 0.613 0.029 O
0.307 0.887 0.529 O
0.447 0.219 0.141 O
0.447 0.281 0.641 O
0.553 0.719 0.359 O
0.553 0.781 0.859 O
0.693 0.113 0.471 O
0.693 0.387 0.971 O
0.785 0.013 0.255 O
0.785 0.487 0.755 O
0.866 0.177 0.871 O
0.866 0.323 0.371 O
```

Summary:
Space group: P2_1/c
Total magnetic moment (Bohr magnetons per cell): 0.56



Record 7
The following is a PBE calculation of an optimized crystal structure of CsReO2, from the Alexandria database.

```
CsReO2
1.0
-2.682 2.682 5.584
2.682 -2.682 5.584
2.682 2.682 -5.584
Cs Re O
2 2 4
direct
0.375 0.625 0.750 Cs
0.625 0.375 0.250 Cs
0.125 0.875 0.250 Re
0.875 0.125 0.750 Re
0.000 0.000 0.000 O
0.000 0.000 0.500 O
0.000 0.500 0.000 O
0.500 0.000 0.500 O
```

Summary:
Space group: I4_1/amd
Total magnetic moment (Bohr magnetons per cell): 0.00



Record 8
The following is a PBE calculation of an optimized crystal structure of CsReO2, from the Alexandria database.

```
CsReO2
1.0
1.716 0.990 7.827
-1.716 0.990 7.827
0.000 -1.981 7.827
Cs Re O
1 1 2
direct
0.000 0.000 0.000 Cs
0.500 0.500 0.500 Re
0.424 0.424 0.424 O
0.576 0.576 0.576 O
```

Summary:
Space group: R-3m
Total magnetic moment (Bohr magnetons per cell): 0.00



| no. | raw formation energy (eV/atom) |
| --- | --- |
| 1 | -2.51 |
| 2 | -0.59 |
| 3 | -1.61 |
| 4 | -1.79 |
| 5 | -1.55 |
| 6 | -1.90 |
| 7 | -0.84 |
| 8 | -0.83 |